Model w:
A relaxed TcPCS2 crystal. Source: Alexandria, functional PBE.

Lattice parameters (Å, degrees): 4.5485 4.5485 4.7207 90.00 90.00 90.00
Closest atoms and distances in Å follow each position.
Space group P4/mmm (No. 123)
Symmetry-distinct sites (fractional):
Tc: 0.0000 0.0000 0.0000 x1  4 S 2.27, 2 P 2.36
P: 0.0000 0.0000 0.5000 x1  2 Tc 2.36
C: 0.5000 0.5000 0.5000 x1  4 P 3.22, 8 S 3.28
S: 0.0000 0.5000 0.0000 x2  2 Tc 2.27

The density of states at the Fermi level is 4.36 states/eV/cell. For the magnetization, the calculation gives 1.7 μB per cell.


Model x:
A relaxed TcPCS2 crystal. Source: Alexandria, functional PBE.

Lattice parameters (Å, degrees): 4.0114 4.0114 3.9054 90.00 90.00 90.00
Closest atoms and distances in Å follow each position.
Space group P4/mmm (No. 123)
Symmetry-distinct sites (fractional):
Tc: 0.0000 0.0000 0.0000 x1  8 S 2.80, 4 P 2.84
P: 0.5000 0.5000 0.0000 x1  2 C 1.95
C: 0.5000 0.5000 0.5000 x1  2 P 1.95, 4 S 2.01
S: 0.0000 0.5000 0.5000 x2  2 C 2.01

The density of states at the Fermi level is 3.08 states/eV/cell. For the magnetization, the calculation gives 0.0 μB per cell.


Result of the stability comparison: model x is the most stable of them.


Model w:
A relaxed TiPCS2 crystal. Source: Alexandria, functional PBE.

Lattice parameters (Å, degrees): 4.6031 4.6031 4.8361 90.00 90.00 90.00
Closest atoms and distances in Å follow each position.
Space group P4/mmm (No. 123)
Symmetry-distinct sites (fractional):
Ti: 0.0000 0.0000 0.0000 x1  4 S 2.30, 2 P 2.42
P: 0.0000 0.0000 0.5000 x1  2 Ti 2.42
C: 0.5000 0.5000 0.5000 x1  4 P 3.25, 8 S 3.34
S: 0.0000 0.5000 0.0000 x2  2 Ti 2.30

The density of states at the Fermi level is 5.43 states/eV/cell. For the magnetization, the calculation gives 0.9 μB per cell.


Model x:
A relaxed TiPCS2 crystal. Source: Alexandria, functional PBE.

Lattice parameters (Å, degrees): 4.0838 4.0838 4.0276 90.00 90.00 90.00
Closest atoms and distances in Å follow each position.
Space group P4/mmm (No. 123)
Symmetry-distinct sites (fractional):
Ti: 0.0000 0.0000 0.0000 x1  8 S 2.87, 4 P 2.89
P: 0.5000 0.5000 0.0000 x1  2 C 2.01
C: 0.5000 0.5000 0.5000 x1  2 P 2.01, 4 S 2.04
S: 0.0000 0.5000 0.5000 x2  2 C 2.04

The density of states at the Fermi level is 3.25 states/eV/cell. For the magnetization, the calculation gives 0.0 μB per cell.


Result of the stability comparison: model x is the most stable of them.


Model w:
A relaxed VP2CS crystal. Source: Alexandria, functional PBE.

Lattice parameters (Å, degrees): 4.5496 4.5496 4.3977 90.00 90.00 90.00
Closest atoms and distances in Å follow each position.
Space group P4/mmm (No. 123)
Symmetry-distinct sites (fractional):
V: 0.0000 0.0000 0.0000 x1  2 S 2.20, 4 P 2.27
P: 0.0000 0.5000 0.0000 x2  2 V 2.27
C: 0.5000 0.5000 0.5000 x1  8 P 3.16, 4 S 3.22
S: 0.0000 0.0000 0.5000 x1  2 V 2.20

The density of states at the Fermi level is 5.14 states/eV/cell. For the magnetization, the calculation gives 1.5 μB per cell.


Model x:
A relaxed VP2CS crystal. Source: Alexandria, functional PBE.

Lattice parameters (Å, degrees): 3.9513 3.9513 4.1911 90.00 90.00 90.00
Closest atoms and distances in Å follow each position.
Space group P4/mmm (No. 123)
Symmetry-distinct sites (fractional):
V: 0.0000 0.0000 0.0000 x1  4 S 2.79, 8 P 2.88
P: 0.0000 0.5000 0.5000 x2  2 C 1.98
C: 0.5000 0.5000 0.5000 x1  4 P 1.98, 2 S 2.10
S: 0.5000 0.5000 0.0000 x1  2 C 2.10

The density of states at the Fermi level is 4.55 states/eV/cell. For the magnetization, the calculation gives 2.0 μB per cell.


Result of the stability comparison: model x is the most stable of them.